Entry 1:
The following is a DFT calculation (PBE-GGA) of crystalline BaSr3Ca6 at its relaxed geometry.

Calculated values
Calculated formation energy in eV/atom: 0.0903
Symmetry: P2_1/m, No. 11
Energy above the most stable polymorph in this dataset in kcal/mol of atoms: 0.00

a = 4.109 Å, b = 14.351 Å, c = 17.502 Å
α = 107.46°, β = 90.00°, γ = 90.00°
Atoms (fractional coordinates):
1 Sr 0.750 0.106 0.115
2 Sr 0.250 0.894 0.885
3 Sr 0.750 0.739 0.621
4 Sr 0.750 0.360 0.811
5 Sr 0.250 0.640 0.189
6 Sr 0.250 0.261 0.379
7 Ca 0.250 0.225 0.615
8 Ca 0.250 0.202 0.951
9 Ca 0.750 0.071 0.451
10 Ca 0.250 0.578 0.955
11 Ca 0.750 0.798 0.049
12 Ca 0.750 0.634 0.797
13 Ca 0.250 0.929 0.549
14 Ca 0.750 0.775 0.385
15 Ca 0.750 0.443 0.579
16 Ca 0.250 0.366 0.203
17 Ca 0.750 0.422 0.045
18 Ca 0.250 0.557 0.421
19 Ba 0.250 0.942 0.255
20 Ba 0.750 0.058 0.745

---

Entry 2:
The following is a DFT calculation (PBE-GGA) of crystalline Ba4Sr3Ca4 at its relaxed geometry.

Calculated values
Calculated formation energy in eV/atom: 0.1229
Symmetry: Amm2, No. 38
Energy above the most stable polymorph in this dataset in kcal/mol of atoms: 2.13

a = 6.521 Å, b = 7.909 Å, c = 12.993 Å
α = 90.00°, β = 90.00°, γ = 114.34°
Atoms (fractional coordinates):
1 Sr 0.244 0.488 0.000
2 Sr 0.427 0.855 0.739
3 Sr 0.427 0.855 0.261
4 Ba 0.747 0.493 0.771
5 Ba 0.899 0.798 0.500
6 Ba 0.747 0.493 0.229
7 Ba 0.937 0.873 0.000
8 Ca 0.093 0.187 0.275
9 Ca 0.604 0.209 0.500
10 Ca 0.093 0.187 0.725
11 Ca 0.579 0.158 0.000

---

Entry 3:
The following is a DFT calculation (PBE-GGA) of crystalline BaSr2Ca8 at its relaxed geometry.

Calculated values
Calculated formation energy in eV/atom: 0.1046
Symmetry: P4/mmm, No. 123
Energy above the most stable polymorph in this dataset in kcal/mol of atoms: 0.00

a = 5.441 Å, b = 5.441 Å, c = 18.225 Å
α = 90.00°, β = 90.00°, γ = 90.00°
Atoms (fractional coordinates):
1 Ca 0.500 0.500 0.339
2 Ca 0.000 0.500 0.178
3 Ca 0.500 0.000 0.822
4 Ca 0.500 0.500 0.661
5 Ca 0.000 0.500 0.500
6 Ca 0.500 0.000 0.178
7 Ca 0.500 0.000 0.500
8 Ca 0.000 0.500 0.822
9 Sr 0.000 0.000 0.338
10 Sr 0.000 0.000 0.662
11 Ba 0.000 0.000 0.000

---

Entry 4:
The following is a DFT calculation (PBE-GGA) of crystalline Ba4Sr4Ca3 at its relaxed geometry.

Calculated values
Calculated formation energy in eV/atom: 0.0245
Symmetry: P-1, No. 2

a = 4.103 Å, b = 6.762 Å, c = 21.520 Å
α = 80.97°, β = 83.66°, γ = 89.99°
Atoms (fractional coordinates):
1 Ca 0.189 0.634 0.732
2 Ca 0.000 0.000 0.000
3 Ca 0.811 0.366 0.268
4 Ba 0.363 0.275 0.450
5 Ba 0.532 0.911 0.178
6 Ba 0.638 0.725 0.550
7 Ba 0.468 0.089 0.822
8 Sr 0.064 0.821 0.358
9 Sr 0.936 0.179 0.642
10 Sr 0.749 0.544 0.911
11 Sr 0.251 0.456 0.089

---

Entry 5:
The following is a DFT calculation (PBE-GGA) of crystalline Ba4SrCa15 at its relaxed geometry.

Calculated values
Calculated formation energy in eV/atom: 0.0261
Symmetry: P4/mmm, No. 123

a = 5.730 Å, b = 5.730 Å, c = 28.518 Å
α = 90.00°, β = 90.00°, γ = 90.00°
Atoms (fractional coordinates):
1 Ba 0.000 0.000 0.197
2 Ba 0.000 0.000 0.399
3 Ba 0.000 0.000 0.803
4 Ba 0.000 0.000 0.601
5 Ca 0.000 0.500 0.702
6 Ca 0.000 0.500 0.500
7 Ca 0.500 0.500 0.601
8 Ca 0.000 0.500 0.097
9 Ca 0.500 0.000 0.298
10 Ca 0.500 0.000 0.903
11 Ca 0.500 0.500 0.803
12 Ca 0.500 0.000 0.097
13 Ca 0.000 0.500 0.298
14 Ca 0.500 0.500 0.197
15 Ca 0.500 0.000 0.702
16 Ca 0.000 0.500 0.903
17 Ca 0.500 0.500 0.399
18 Ca 0.500 0.000 0.500
19 Ca 0.500 0.500 0.000
20 Sr 0.000 0.000 0.000

---

Entry 6:
The following is a DFT calculation (PBE-GGA) of crystalline Ba3Sr5Ca at its relaxed geometry.

Calculated values
Calculated formation energy in eV/atom: 0.0622
Symmetry: P6_3/mcm, No. 193
Energy above the most stable polymorph in this dataset in kcal/mol of atoms: 0.00

a = 8.097 Å, b = 11.953 Å, c = 11.953 Å
α = 120.00°, β = 90.00°, γ = 90.00°
Atoms (fractional coordinates):
1 Ca 0.500 0.000 0.000
2 Ca 0.000 0.000 0.000
3 Ba 0.250 0.665 0.000
4 Ba 0.250 0.000 0.665
5 Ba 0.750 0.000 0.335
6 Ba 0.750 0.335 0.000
7 Ba 0.750 0.665 0.665
8 Ba 0.250 0.335 0.335
9 Sr 0.750 0.675 0.000
10 Sr 0.250 0.325 0.000
11 Sr 0.500 0.333 0.667
12 Sr 0.250 0.000 0.325
13 Sr 0.000 0.667 0.333
14 Sr 0.000 0.333 0.667
15 Sr 0.750 0.325 0.325
16 Sr 0.250 0.675 0.675
17 Sr 0.750 0.000 0.675
18 Sr 0.500 0.667 0.333

---

Entry 7:
The following is a DFT calculation (PBE-GGA) of crystalline Ba3SrCa2 at its relaxed geometry.

Calculated values
Calculated formation energy in eV/atom: 0.0258
Symmetry: P4/mmm, No. 123
Energy above the most stable polymorph in this dataset in kcal/mol of atoms: 0.00

a = 4.755 Å, b = 4.755 Å, c = 14.523 Å
α = 90.00°, β = 90.00°, γ = 90.00°
Atoms (fractional coordinates):
1 Sr 0.500 0.500 0.500
2 Ba 0.000 0.000 0.321
3 Ba 0.000 0.000 0.000
4 Ba 0.000 0.000 0.679
5 Ca 0.500 0.500 0.840
6 Ca 0.500 0.500 0.160

---

Entry 8:
The following is a DFT calculation (PBE-GGA) of crystalline Ba2Sr5Ca4 at its relaxed geometry.

Calculated values
Calculated formation energy in eV/atom: 0.1061
Symmetry: C2/m, No. 12
Energy above the most stable polymorph in this dataset in kcal/mol of atoms: 1.84

a = 7.701 Å, b = 9.613 Å, c = 9.693 Å
α = 74.26°, β = 66.60°, γ = 66.39°
Atoms (fractional coordinates):
1 Sr 0.249 0.178 0.821
2 Sr 0.247 0.822 0.179
3 Sr 0.751 0.822 0.179
4 Sr 0.000 0.500 0.500
5 Sr 0.753 0.178 0.821
6 Ba 0.683 0.319 0.316
7 Ba 0.317 0.681 0.684
8 Ca 0.757 0.911 0.574
9 Ca 0.244 0.421 0.091
10 Ca 0.243 0.089 0.426
11 Ca 0.756 0.579 0.909

---

Entry 9:
The following is a DFT calculation (PBE-GGA) of crystalline Ba4Sr2Ca3 at its relaxed geometry.

Calculated values
Calculated formation energy in eV/atom: 0.0490
Symmetry: C2/c, No. 15
Energy above the most stable polymorph in this dataset in kcal/mol of atoms: 0.50

a = 10.825 Å, b = 10.512 Å, c = 10.512 Å
α = 83.80°, β = 64.54°, γ = 64.54°
Atoms (fractional coordinates):
1 Ca 0.750 0.636 0.364
2 Ca 0.040 0.922 0.167
3 Ca 0.960 0.078 0.833
4 Ca 0.460 0.833 0.078
5 Ca 0.250 0.364 0.636
6 Ca 0.540 0.167 0.922
7 Ba 0.140 0.132 0.418
8 Ba 0.590 0.052 0.284
9 Ba 0.360 0.582 0.868
10 Ba 0.410 0.948 0.716
11 Ba 0.640 0.418 0.132
12 Ba 0.090 0.284 0.052
13 Ba 0.910 0.716 0.948
14 Ba 0.860 0.868 0.582
15 Sr 0.184 0.507 0.288
16 Sr 0.684 0.288 0.507
17 Sr 0.316 0.712 0.493
18 Sr 0.816 0.493 0.712

---

Entry 10:
The following is a DFT calculation (PBE-GGA) of crystalline BaSrCa2 at its relaxed geometry.

Calculated values
Calculated formation energy in eV/atom: 0.0425
Symmetry: C2/m, No. 12
Energy above the most stable polymorph in this dataset in kcal/mol of atoms: 0.80

a = 7.136 Å, b = 7.136 Å, c = 7.222 Å
α = 80.93°, β = 80.93°, γ = 33.51°
Atoms (fractional coordinates):
1 Ba 0.250 0.250 0.250
2 Sr 0.750 0.750 0.750
3 Ca 0.001 0.001 0.995
4 Ca 0.499 0.499 0.505

---

Magnetic moment
In order: 0.00; 0.00; 0.00; 0.00; 0.00; 0.00; 0.00; 0.00; 0.00; 0.00
Unit: μB per atom